# 1
Mg2H5Ir2 | PBE-GGA | optimized geometry

```
Mg2H5Ir2
1.0
3.243 0.000 0.001
0.003 7.142 0.015
0.000 -0.003 3.573
H Ir Mg
5 2 2
direct
0.605 0.977 0.274
0.106 0.975 0.651
0.104 0.723 0.200
0.104 0.227 0.202
0.103 0.475 0.722
0.105 0.475 0.232
0.105 0.975 0.131
0.606 0.249 0.721
0.605 0.702 0.719
```

crystal system: triclinic
total magnetic moment: 0.00 μB per atom
calculated density: 8.788 g cm⁻³
offset from the most stable computed form: 46 meV/atom
final energy: -4.385 eV/atom

# 2
Hf4Zr3Pa2 | PBE-GGA | optimized geometry

```
Hf4Zr3Pa2
1.0
-5.728 -0.833 -1.210
0.726 -6.936 -5.202
-2.518 -3.292 7.649
Zr Hf Pa
6 8 4
direct
0.987 0.031 0.328
0.250 0.688 0.312
0.013 0.969 0.672
0.513 0.672 0.969
0.750 0.312 0.688
0.487 0.328 0.031
0.852 0.636 0.640
0.494 0.974 0.823
0.352 0.640 0.636
0.006 0.177 0.026
0.648 0.360 0.364
0.148 0.364 0.360
0.506 0.026 0.177
0.994 0.823 0.974
0.348 0.164 0.563
0.152 0.437 0.836
0.848 0.563 0.164
0.652 0.836 0.437
```

energy relative to the elements: 1.24 eV per formula unit
crystal system: monoclinic
total magnetic moment: 0.00 μB per atom
calculated density: 11.471 g cm⁻³
final energy: -9.245 eV/atom

# 3
Er2CdHg5 | PBE-GGA | optimized geometry

```
Er2CdHg5
1.0
-4.956 4.495 -0.251
-0.627 -0.319 6.659
5.642 1.078 -2.784
Hg Cd Er
5 1 2
direct
0.222 0.222 0.944
0.722 0.722 0.944
0.222 0.722 0.944
0.722 0.222 0.944
0.722 0.722 0.443
0.223 0.223 0.445
0.722 0.222 0.444
0.222 0.722 0.444
```

energy relative to the elements: -2.32 eV per formula unit
crystal system: tetragonal
total magnetic moment: 0.00 μB per atom
calculated density: 12.543 g cm⁻³
final energy: -1.733 eV/atom

# 4
Ta4BeRu5 | PBE-GGA | optimized geometry

```
Ta4BeRu5
1.0
3.100 0.000 0.000
0.000 3.100 0.000
0.000 0.000 15.754
Ru Ta Be
5 4 1
direct
0.500 0.500 0.914
0.500 0.500 0.500
0.500 0.500 0.086
0.500 0.500 0.286
0.500 0.500 0.714
0.000 0.000 0.393
0.000 0.000 0.607
0.000 0.000 0.180
0.000 0.000 0.820
0.000 0.000 0.000
```

energy relative to the elements: -3.75 eV per formula unit
crystal system: tetragonal
total magnetic moment: 0.00 μB per atom
calculated density: 13.579 g cm⁻³
final energy: -10.127 eV/atom

# 5
NbGa2Pt2 | PBE-GGA | optimized geometry

```
NbGa2Pt2
1.0
-2.991 3.267 6.071
1.653 -6.085 4.089
2.508 1.110 0.638
Nb Pt Ga
2 4 4
direct
0.500 0.500 0.000
0.000 0.000 0.000
0.660 0.840 0.500
0.340 0.160 0.500
0.160 0.660 0.500
0.840 0.340 0.500
0.361 0.861 0.000
0.139 0.361 0.000
0.639 0.139 0.000
0.861 0.639 0.000
```

energy relative to the elements: -2.30 eV per formula unit
crystal system: tetragonal
total magnetic moment: 0.00 μB per atom
calculated density: 12.997 g cm⁻³
offset from the most stable computed form: 0 meV/atom
final energy: -6.101 eV/atom

# 6
Cs5Hg3Au3 | PBE-GGA | optimized geometry

```
Cs5Hg3Au3
1.0
-1.337 -2.029 -4.900
8.020 -7.517 0.924
-10.139 -2.269 3.707
Hg Cs Au
3 5 3
direct
0.000 0.627 0.627
0.000 0.373 0.000
0.000 0.000 0.373
0.500 0.745 0.000
0.500 0.667 0.333
0.500 0.333 0.667
0.500 0.000 0.745
0.500 0.255 0.255
0.500 0.000 0.373
0.500 0.627 0.627
0.500 0.373 0.000
```

energy relative to the elements: -2.60 eV per formula unit
crystal system: hexagonal
total magnetic moment: 0.00 μB per atom
calculated density: 5.351 g cm⁻³
final energy: -1.601 eV/atom

# 7
Dy3ZrTl3S8 | PBE-GGA | optimized geometry

```
Dy3ZrTl3S8
1.0
7.901 0.000 0.000
-3.951 6.842 -0.029
0.000 -4.531 7.614
S Zr Dy Tl
8 1 3 3
direct
0.733 0.465 0.698
0.253 0.031 0.308
0.777 0.555 0.308
0.223 0.969 0.692
0.747 0.969 0.692
0.267 0.535 0.302
0.223 0.445 0.692
0.777 0.031 0.308
0.000 0.000 0.500
0.500 0.500 0.500
0.500 0.000 0.500
0.000 0.500 0.500
0.500 0.500 0.000
0.000 0.500 0.000
0.000 0.000 0.000
```

crystal system: trigonal
total magnetic moment: 0.00 μB per atom
calculated density: 5.857 g cm⁻³
formation energy (no corrections): -1.50 eV per atom
final energy: -5.670 eV/atom

# 8
LiPmYCr | PBE-GGA | optimized geometry

```
LiPmYCr
1.0
5.158 0.000 0.000
2.579 4.467 0.000
2.579 1.489 4.212
Y Li Pm Cr
1 1 1 1
direct
0.250 0.250 0.250
0.000 0.000 0.000
0.750 0.750 0.750
0.500 0.500 0.500
```

energy relative to the elements: 0.77 eV per formula unit
crystal system: cubic
total magnetic moment: 0.78 μB per atom
calculated density: 5.010 g cm⁻³
final energy: -5.496 eV/atom

# 9
Tm3IrPb | PBE-GGA | optimized geometry

```
Tm3IrPb
1.0
5.307 0.000 0.000
0.000 5.307 0.000
0.000 0.000 5.307
Pb Ir Tm
1 1 3
direct
0.500 0.500 0.500
0.000 0.000 0.000
0.500 0.000 0.000
0.000 0.500 0.000
0.000 0.000 0.500
```

energy relative to the elements: -2.20 eV per formula unit
crystal system: cubic
total magnetic moment: 0.00 μB per atom
calculated density: 10.066 g cm⁻³
offset from the most stable computed form: 142 meV/atom
final energy: -5.637 eV/atom

# 10
BaSrCu | PBE-GGA | optimized geometry

```
BaSrCu
1.0
-2.751 5.141 2.820
-4.676 3.645 -3.767
-9.719 -4.058 5.354
Sr Cu Ba
4 4 4
direct
0.411 0.000 0.178
0.161 0.500 0.678
0.339 0.500 0.322
0.589 0.000 0.822
0.626 0.500 0.748
0.124 0.000 0.752
0.874 0.500 0.252
0.876 0.000 0.248
0.159 0.682 0.000
0.909 0.182 0.500
0.841 0.318 0.000
0.591 0.818 0.500
```

energy relative to the elements: 0.16 eV per formula unit
crystal system: orthorhombic
total magnetic moment: 0.00 μB per atom
calculated density: 4.178 g cm⁻³
offset from the most stable computed form: 66 meV/atom
final energy: -2.515 eV/atom

# 11
Sc2MnFe5B2 | PBE-GGA | optimized geometry

```
Sc2MnFe5B2
1.0
-0.878 1.940 -1.900
3.275 -4.898 -6.515
-7.690 -4.185 -0.719
Sc Fe B Mn
4 10 4 2
direct
0.000 0.325 0.825
0.000 0.675 0.175
0.000 0.175 0.325
0.000 0.825 0.675
0.500 0.000 0.500
0.500 0.214 0.068
0.500 0.932 0.214
0.500 0.068 0.786
0.500 0.714 0.432
0.500 0.786 0.932
0.500 0.432 0.286
0.500 0.500 0.000
0.500 0.568 0.714
0.500 0.286 0.568
0.000 0.621 0.879
0.000 0.121 0.621
0.000 0.379 0.121
0.000 0.879 0.379
0.000 0.000 0.000
0.000 0.500 0.500
```

energy relative to the elements: -2.67 eV per formula unit
crystal system: tetragonal
total magnetic moment: 0.23 μB per atom
calculated density: 6.722 g cm⁻³
final energy: -8.017 eV/atom

# 12
MgUIn2O8 | PBE-GGA | optimized geometry

```
MgUIn2O8
1.0
4.977 -0.006 -0.003
0.025 4.978 -0.005
0.004 0.007 6.569
O In Mg U
8 2 1 1
direct
0.296 0.296 0.500
0.187 0.813 0.242
0.700 0.700 0.000
0.813 0.187 0.242
0.300 0.300 0.000
0.813 0.187 0.758
0.704 0.704 0.500
0.187 0.813 0.758
0.500 0.500 0.253
0.500 0.500 0.747
0.000 0.000 0.500
0.000 0.000 0.000
```

crystal system: orthorhombic
total magnetic moment: 0.16 μB per atom
calculated density: 6.325 g cm⁻³
formation energy (no corrections): -1.95 eV per atom
final energy: -6.782 eV/atom